## KSc4Cu (PBE-GGA)

Data for KSc4Cu after structural relaxation.

a b c (Å): 6.154 6.154 6.154
angles (deg): 60.00 60.00 60.00
Fractional positions:
K (0.000, 0.000, 0.000)
Sc (0.132, 0.623, 0.623)
Sc (0.623, 0.132, 0.623)
Sc (0.623, 0.623, 0.132)
Sc (0.623, 0.623, 0.623)
Cu (0.250, 0.250, 0.250)

Values from the calculation:
The calculation puts the uncorrected energy at -26.19 eV per cell. The density of states at the Fermi level is 9.41 states/eV/f.u. As for the formation energy: 4.329 eV per formula unit. The density is 2.85 g/cm³.


## RbTaCdSe2 (PBE-GGA)

Data for RbTaCdSe2 after structural relaxation.

a b c (Å): 5.366 5.366 5.559
angles (deg): 90.00 90.00 90.00
Fractional positions:
Rb (0.000, 0.000, 0.000)
Ta (0.500, 0.500, 0.000)
Cd (0.000, 0.000, 0.500)
Se (0.000, 0.500, 0.500)
Se (0.500, 0.000, 0.500)

Values from the calculation:
The calculation puts the uncorrected energy at -14.96 eV per cell. The density of states at the Fermi level is 4.09 states/eV/f.u. The energy relative to the elements, uncorrected is 1.149 eV per atom. The density is 5.57 g/cm³.


## NiAg6Cl12 (PBE-GGA)

Data for NiAg6Cl12 after structural relaxation.

a b c (Å): 7.939 7.939 7.939
angles (deg): 88.09 88.09 88.09
Fractional positions:
Ni (0.000, 0.000, 0.000)
Ag (0.099, 0.588, 0.285)
Ag (0.285, 0.099, 0.588)
Ag (0.412, 0.715, 0.901)
Ag (0.588, 0.285, 0.099)
Ag (0.715, 0.901, 0.412)
Ag (0.901, 0.412, 0.715)
Cl (0.003, 0.989, 0.291)
Cl (0.011, 0.709, 0.997)
Cl (0.178, 0.397, 0.546)
Cl (0.291, 0.003, 0.989)
Cl (0.397, 0.546, 0.178)
Cl (0.454, 0.822, 0.603)
Cl (0.546, 0.178, 0.397)
Cl (0.603, 0.454, 0.822)
Cl (0.709, 0.997, 0.011)
Cl (0.822, 0.603, 0.454)
Cl (0.989, 0.291, 0.003)
Cl (0.997, 0.011, 0.709)

Values from the calculation:
The calculation puts the uncorrected energy at -52.69 eV per cell. The density of states at the Fermi level is 9.37 states/eV/f.u. The energy relative to the elements, uncorrected is -0.402 eV per atom. The density is 3.76 g/cm³.


## LiRe2Ru2 (PBE-GGA)

Data for LiRe2Ru2 after structural relaxation.

a b c (Å): 7.636 7.636 2.721
angles (deg): 90.00 90.00 90.00
Fractional positions:
Li (0.000, 0.000, 0.000)
Li (0.500, 0.500, 0.000)
Re (0.122, 0.378, 0.000)
Re (0.378, 0.878, 0.000)
Re (0.622, 0.122, 0.000)
Re (0.878, 0.622, 0.000)
Ru (0.167, 0.667, 0.500)
Ru (0.333, 0.167, 0.500)
Ru (0.667, 0.833, 0.500)
Ru (0.833, 0.333, 0.500)

Values from the calculation:
The calculation puts the uncorrected energy at -88.93 eV per cell. The density of states at the Fermi level is 4.62 states/eV/f.u. As for the formation energy: 0.897 eV per formula unit. The density is 12.17 g/cm³.


## BaAlCr2Ru (PBE-GGA)

Data for BaAlCr2Ru after structural relaxation.

a b c (Å): 5.362 5.362 4.987
angles (deg): 90.00 90.00 90.00
Fractional positions:
Ba (0.000, 0.000, 0.000)
Al (0.500, 0.500, 0.500)
Cr (0.000, 0.500, 0.000)
Cr (0.500, 0.000, 0.000)
Ru (0.000, 0.000, 0.500)

Values from the calculation:
The calculation puts the uncorrected energy at -22.60 eV per cell. The density of states at the Fermi level is 3.61 states/eV/f.u. As for the formation energy: 11.587 eV per formula unit. The density is 4.28 g/cm³.


## RbHg2F7 (PBE-GGA)

Data for RbHg2F7 after structural relaxation.

a b c (Å): 7.044 7.044 4.359
angles (deg): 90.00 90.00 122.60
Fractional positions:
Rb (0.000, 0.000, 0.000)
Hg (0.319, 0.681, 0.500)
Hg (0.681, 0.319, 0.500)
F (0.035, 0.332, 0.500)
F (0.317, 0.683, 0.000)
F (0.332, 0.035, 0.500)
F (0.500, 0.500, 0.500)
F (0.668, 0.965, 0.500)
F (0.683, 0.317, 0.000)
F (0.965, 0.668, 0.500)

Values from the calculation:
The calculation puts the uncorrected energy at -29.32 eV per cell. The density of states at the Fermi level is 3.99 states/eV/f.u. The energy relative to the elements, uncorrected is -1.465 eV per atom. The density is 5.65 g/cm³.


## LaSi2Ni5 (PBE-GGA)

Data for LaSi2Ni5 after structural relaxation.

a b c (Å): 3.695 6.592 9.304
angles (deg): 90.00 90.00 90.00
Fractional positions:
La (0.000, 0.000, 0.000)
La (0.500, 0.500, 0.500)
Si (0.000, 0.500, 0.240)
Si (0.000, 0.500, 0.760)
Si (0.500, 0.000, 0.260)
Si (0.500, 0.000, 0.740)
Ni (0.000, 0.187, 0.348)
Ni (0.000, 0.187, 0.652)
Ni (0.000, 0.500, 0.000)
Ni (0.000, 0.813, 0.348)
Ni (0.000, 0.813, 0.652)
Ni (0.500, 0.000, 0.500)
Ni (0.500, 0.313, 0.152)
Ni (0.500, 0.313, 0.848)
Ni (0.500, 0.687, 0.152)
Ni (0.500, 0.687, 0.848)

Values from the calculation:
The calculation puts the uncorrected energy at -98.32 eV per cell. The density of states at the Fermi level is 4.42 states/eV/f.u. The energy relative to the elements, uncorrected is -0.560 eV per atom. The density is 7.16 g/cm³.


## Pr2ErAu4 (PBE-GGA)

Data for Pr2ErAu4 after structural relaxation.

a b c (Å): 5.281 5.281 13.191
angles (deg): 90.00 90.00 90.00
Fractional positions:
Pr (0.000, 0.000, 0.220)
Pr (0.000, 0.000, 0.780)
Pr (0.500, 0.500, 0.280)
Pr (0.500, 0.500, 0.720)
Er (0.000, 0.000, 0.500)
Er (0.500, 0.500, 0.000)
Au (0.000, 0.500, 0.112)
Au (0.000, 0.500, 0.388)
Au (0.000, 0.500, 0.612)
Au (0.000, 0.500, 0.888)
Au (0.500, 0.000, 0.112)
Au (0.500, 0.000, 0.388)
Au (0.500, 0.000, 0.612)
Au (0.500, 0.000, 0.888)

Values from the calculation:
The calculation puts the uncorrected energy at -63.77 eV per cell. The density of states at the Fermi level is 5.90 states/eV/f.u. As for the formation energy: -4.654 eV per formula unit. The density is 11.17 g/cm³.


## ZrCoTc3 (PBE-GGA)

Data for ZrCoTc3 after structural relaxation.

a b c (Å): 4.433 4.433 4.433
angles (deg): 90.00 90.00 90.00
Fractional positions:
Zr (0.000, 0.000, 0.000)
Co (0.500, 0.500, 0.500)
Tc (0.000, 0.500, 0.500)
Tc (0.500, 0.000, 0.500)
Tc (0.500, 0.500, 0.000)

Values from the calculation:
The calculation puts the uncorrected energy at -42.50 eV per cell. The density of states at the Fermi level is 9.98 states/eV/f.u. As for the formation energy: 4.254 eV per formula unit. The density is 8.46 g/cm³.


Among the records above, which one has the lowest density? KSc4Cu


What is the density in the sixth record? 5.65 g/cm³